(1)
Computed, not measured: a relaxed CePrEuEr crystal at the PBE level of DFT.

CIF file:
```
data_CePrEuEr
_chemical_formula_sum 'Ce4 Pr4 Eu4 Er4'
_symmetry_space_group_name_H-M 'F -4 3 m'
_symmetry_Int_Tables_number 216
_symmetry_space_group_name_Hall 'F -4 2 3'
_cell_length_a 8.230
_cell_length_b 8.230
_cell_length_c 8.230
_cell_angle_alpha 90.00
_cell_angle_beta 90.00
_cell_angle_gamma 90.00
loop_
_atom_site_label
_atom_site_fract_x
_atom_site_fract_y
_atom_site_fract_z
Ce1 0.000 0.000 0.000
Pr1 0.250 0.250 0.750
Eu1 0.000 0.000 0.500
Er1 0.250 0.250 0.250
```

Computed properties:
Energy relative to the elements: 22.3 kJ/mol of atoms
Total magnetization: 2.3431 μB/atom
DFT total energy: -6.16 eV per atom
DOS(E_F): 10.34 states/eV/f.u.

=====

(2)
Computed, not measured: a relaxed Hg2BiPd crystal at the PBE level of DFT.

CIF file:
```
data_Hg2BiPd
_chemical_formula_sum 'Hg8 Bi4 Pd4'
_symmetry_space_group_name_H-M 'I -4 2 d'
_symmetry_Int_Tables_number 122
_symmetry_space_group_name_Hall 'I -4 2bw'
_cell_length_a 8.234
_cell_length_b 8.234
_cell_length_c 5.790
_cell_angle_alpha 90.00
_cell_angle_beta 90.00
_cell_angle_gamma 90.00
loop_
_atom_site_label
_atom_site_fract_x
_atom_site_fract_y
_atom_site_fract_z
Hg1 0.215 0.250 0.125
Bi1 0.000 0.000 0.500
Pd1 0.000 0.000 0.000
```

Computed properties:
Energy relative to the elements: 8.3 kJ/mol of atoms
Total magnetization: 0.0000 μB/atom
DFT total energy: -2.33 eV per atom
DOS(E_F): 2.20 states/eV/f.u.

=====

(3)
Computed, not measured: a relaxed MnTl2Ir crystal at the PBE level of DFT.

CIF file:
```
data_MnTl2Ir
_chemical_formula_sum 'Mn2 Tl4 Ir2'
_symmetry_space_group_name_H-M 'I -4 m 2'
_symmetry_Int_Tables_number 119
_symmetry_space_group_name_Hall 'I -4 -2'
_cell_length_a 4.157
_cell_length_b 4.157
_cell_length_c 8.899
_cell_angle_alpha 90.00
_cell_angle_beta 90.00
_cell_angle_gamma 90.00
loop_
_atom_site_label
_atom_site_fract_x
_atom_site_fract_y
_atom_site_fract_z
Mn1 0.000 0.000 0.000
Tl1 0.000 0.000 0.500
Tl2 0.000 0.500 0.750
Ir1 0.000 0.500 0.250
```

Computed properties:
Energy relative to the elements: 49.4 kJ/mol of atoms
Total magnetization: 1.0269 μB/atom
Excess energy over the best structure of this formula in the dataset: 22.4 kJ/mol of atoms
DFT total energy: -5.18 eV per atom
DOS(E_F): 2.19 states/eV/f.u.

=====

(4)
Computed, not measured: a relaxed Sm3UIn3Se8 crystal at the PBE level of DFT.

CIF file:
```
data_Sm3UIn3Se8
_chemical_formula_sum 'Sm9 U3 In9 Se24'
_symmetry_space_group_name_H-M 'R -3 m'
_symmetry_Int_Tables_number 166
_symmetry_space_group_name_Hall '-R 3 2"'
_cell_length_a 8.4159
_cell_length_b 8.4159
_cell_length_c 23.2689
_cell_angle_alpha 90.00
_cell_angle_beta 90.00
_cell_angle_gamma 120.00
loop_
_atom_site_label
_atom_site_fract_x
_atom_site_fract_y
_atom_site_fract_z
Sm1 0.0000 0.5000 0.0000
U1 0.0000 0.0000 0.0000
In1 0.0000 0.5000 0.5000
Se1 0.0000 0.0000 0.2624
Se2 0.0107 0.5053 0.7357
```

Computed properties:
Energy relative to the elements, uncorrected: -1.2618 eV per atom
Total magnetization: 0.1333 μB/atom
DFT total energy: -5.36 eV per atom
DOS(E_F): 5.91 states/eV/f.u.

=====

(5)
Computed, not measured: a relaxed CeGd2Ge crystal at the PBE level of DFT.

CIF file:
```
data_CeGd2Ge
_chemical_formula_sum 'Ce4 Gd8 Ge4'
_symmetry_space_group_name_H-M 'F m -3 m'
_symmetry_Int_Tables_number 225
_symmetry_space_group_name_Hall '-F 4 2 3'
_cell_length_a 7.455
_cell_length_b 7.455
_cell_length_c 7.455
_cell_angle_alpha 90.00
_cell_angle_beta 90.00
_cell_angle_gamma 90.00
loop_
_atom_site_label
_atom_site_fract_x
_atom_site_fract_y
_atom_site_fract_z
Ce1 0.000 0.000 0.000
Gd1 0.250 0.250 0.250
Ge1 0.000 0.000 0.500
```

Computed properties:
Energy relative to the elements: -11.8 kJ/mol of atoms
Total magnetization: 4.4670 μB/atom
Excess energy over the best structure of this formula in the dataset: 20.8 kJ/mol of atoms
DFT total energy: -9.80 eV per atom
DOS(E_F): 8.56 states/eV/f.u.

=====

(6)
Computed, not measured: a relaxed Th2Al12Ni7 crystal at the PBE level of DFT.

CIF file:
```
data_Th2Al12Ni7
_chemical_formula_sum 'Th2 Al12 Ni7'
_symmetry_space_group_name_H-M 'P -6'
_symmetry_Int_Tables_number 174
_symmetry_space_group_name_Hall 'P -6'
_cell_length_a 9.5993
_cell_length_b 9.5993
_cell_length_c 4.0662
_cell_angle_alpha 90.00
_cell_angle_beta 90.00
_cell_angle_gamma 120.00
loop_
_atom_site_label
_atom_site_fract_x
_atom_site_fract_y
_atom_site_fract_z
Th1 0.0000 0.0000 0.0000
Th2 0.3333 0.6667 0.5000
Al1 0.0228 0.7423 0.5000
Al2 0.1377 0.3857 0.0000
Al3 0.3816 0.1791 0.0000
Al4 0.5460 0.1271 0.5000
Ni1 0.0270 0.5738 0.0000
Ni2 0.2496 0.0124 0.5000
Ni3 0.6667 0.3333 0.0000
```

Computed properties:
Energy relative to the elements: -55.7 kJ/mol of atoms
Total magnetization: 0.0000 μB/atom
DFT total energy: -5.35 eV per atom
DOS(E_F): 7.96 states/eV/f.u.

=====

(7)
Computed, not measured: a relaxed LiTcPt crystal at the PBE level of DFT.

CIF file:
```
data_LiTcPt
_chemical_formula_sum 'Li2 Tc2 Pt2'
_symmetry_space_group_name_H-M 'P -1'
_symmetry_Int_Tables_number 2
_symmetry_space_group_name_Hall '-P 1'
_cell_length_a 2.709
_cell_length_b 5.630
_cell_length_c 6.200
_cell_angle_alpha 73.12
_cell_angle_beta 81.70
_cell_angle_gamma 89.71
loop_
_atom_site_label
_atom_site_fract_x
_atom_site_fract_y
_atom_site_fract_z
Li1 0.138 0.344 0.192
Tc1 0.087 0.866 0.174
Pt1 0.500 0.000 0.500
Pt2 0.500 0.500 0.500
```

Computed properties:
Energy relative to the elements: -15.5 kJ/mol of atoms
Total magnetization: 0.0000 μB/atom
Excess energy over the best structure of this formula in the dataset: 7.6 kJ/mol of atoms
DFT total energy: -6.27 eV per atom
DOS(E_F): 1.91 states/eV/f.u.

=====

(8)
Computed, not measured: a relaxed MnIn2BiTe4 crystal at the PBE level of DFT.

CIF file:
```
data_MnIn2BiTe4
_chemical_formula_sum 'Mn2 In4 Bi2 Te8'
_symmetry_space_group_name_H-M 'I -4 2 m'
_symmetry_Int_Tables_number 121
_symmetry_space_group_name_Hall 'I -4 2'
_cell_length_a 8.434
_cell_length_b 8.434
_cell_length_c 7.175
_cell_angle_alpha 90.00
_cell_angle_beta 90.00
_cell_angle_gamma 90.00
loop_
_atom_site_label
_atom_site_fract_x
_atom_site_fract_y
_atom_site_fract_z
Mn1 0.000 0.000 0.000
In1 0.000 0.500 0.000
Bi1 0.000 0.000 0.500
Te1 0.187 0.187 0.788
```

Computed properties:
Energy relative to the elements, uncorrected: -0.0992 eV per atom
Total magnetization: 0.5037 μB/atom
DFT total energy: -3.99 eV per atom
DOS(E_F): 4.00 states/eV/f.u.

=====

(9)
Computed, not measured: a relaxed Tb4AlGa12 crystal at the PBE level of DFT.

CIF file:
```
data_Tb4AlGa12
_chemical_formula_sum 'Tb8 Al2 Ga24'
_symmetry_space_group_name_H-M 'I m -3 m'
_symmetry_Int_Tables_number 229
_symmetry_space_group_name_Hall '-I 4 2 3'
_cell_length_a 8.742
_cell_length_b 8.742
_cell_length_c 8.742
_cell_angle_alpha 90.00
_cell_angle_beta 90.00
_cell_angle_gamma 90.00
loop_
_atom_site_label
_atom_site_fract_x
_atom_site_fract_y
_atom_site_fract_z
Tb1 0.250 0.250 0.250
Al1 0.000 0.000 0.000
Ga1 0.000 0.000 0.305
Ga2 0.000 0.250 0.500
```

Computed properties:
Energy relative to the elements: -47.5 kJ/mol of atoms
Total magnetization: 0.0000 μB/atom
DFT total energy: -3.94 eV per atom
DOS(E_F): 6.70 states/eV/f.u.

=====

(10)
Computed, not measured: a relaxed CaCd2SbO6 crystal at the PBE level of DFT.

CIF file:
```
data_CaCd2SbO6
_chemical_formula_sum 'Ca2 Cd4 Sb2 O12'
_symmetry_space_group_name_H-M 'P 1 21/c 1'
_symmetry_Int_Tables_number 14
_symmetry_space_group_name_Hall '-P 2ybc'
_cell_length_a 5.655
_cell_length_b 5.826
_cell_length_c 9.968
_cell_angle_alpha 90.00
_cell_angle_beta 124.40
_cell_angle_gamma 90.00
loop_
_atom_site_label
_atom_site_fract_x
_atom_site_fract_y
_atom_site_fract_z
Ca1 0.000 0.000 0.000
Cd1 0.223 0.042 0.730
Sb1 0.500 0.000 0.500
O1 0.161 0.171 0.458
O2 0.243 0.719 0.408
O3 0.398 0.090 0.277
```

Computed properties:
Energy relative to the elements, uncorrected: -1.5040 eV per atom
Total magnetization: 0.1085 μB/atom
DFT total energy: -5.27 eV per atom
DOS(E_F): 6.85 states/eV/f.u.

=====

(11)
Computed, not measured: a relaxed HfSbS2F crystal at the PBE level of DFT.

CIF file:
```
data_HfSbS2F
_chemical_formula_sum 'Hf1 Sb1 S2 F1'
_symmetry_space_group_name_H-M 'P 4/m m m'
_symmetry_Int_Tables_number 123
_symmetry_space_group_name_Hall '-P 4 2'
_cell_length_a 4.753
_cell_length_b 4.753
_cell_length_c 4.193
_cell_angle_alpha 90.00
_cell_angle_beta 90.00
_cell_angle_gamma 90.00
loop_
_atom_site_label
_atom_site_fract_x
_atom_site_fract_y
_atom_site_fract_z
Hf1 0.000 0.000 0.000
Sb1 0.500 0.500 0.000
S1 0.000 0.500 0.500
F1 0.500 0.500 0.500
```

Computed properties:
Energy relative to the elements, uncorrected: -0.0022 eV per atom
Total magnetization: 0.0000 μB/atom
DFT total energy: -4.84 eV per atom
DOS(E_F): 3.33 states/eV/f.u.

=====

(12)
Computed, not measured: a relaxed Na4PrPu3Se8 crystal at the PBE level of DFT.

CIF file:
```
data_Na4PrPu3Se8
_chemical_formula_sum 'Na12 Pr3 Pu9 Se24'
_symmetry_space_group_name_H-M 'R -3 m'
_symmetry_Int_Tables_number 166
_symmetry_space_group_name_Hall '-R 3 2"'
_cell_length_a 8.4845
_cell_length_b 8.4845
_cell_length_c 20.8382
_cell_angle_alpha 90.00
_cell_angle_beta 90.00
_cell_angle_gamma 120.00
loop_
_atom_site_label
_atom_site_fract_x
_atom_site_fract_y
_atom_site_fract_z
Na1 0.0000 0.0000 0.0000
Na2 0.0000 0.5000 0.0000
Pr1 0.0000 0.0000 0.5000
Pu1 0.0000 0.5000 0.5000
Se1 0.0000 0.0000 0.2424
Se2 0.0062 0.5031 0.7553
```

Computed properties:
Energy relative to the elements, uncorrected: -1.4701 eV per atom
Total magnetization: 0.9375 μB/atom
DFT total energy: -6.53 eV per atom
DOS(E_F): 32.97 states/eV/f.u.